# 1
A plane-wave DFT calculation with GGA-PBE was carried out for a relaxed structure of CaHo2Ga9.

Results
energy relative to the elements = -530 kJ/mol of formula units
space-group type = P4/mmm (123)

```
CaHo2Ga9
1.0
4.2879 0.0000 0.0000
0.0000 4.2879 0.0000
0.0000 0.0000 12.8561
Ga Ca Ho
9 1 2
Direct
0.5000 0.5000 0.3334
0.5000 0.5000 0.0000
0.5000 0.0000 0.1685
0.5000 0.5000 0.6666
0.0000 0.5000 0.8315
0.5000 0.0000 0.5000
0.0000 0.5000 0.5000
0.5000 0.0000 0.8315
0.0000 0.5000 0.1685
0.0000 0.0000 0.0000
0.0000 0.0000 0.6638
0.0000 0.0000 0.3362
```

=====

# 2
A plane-wave DFT calculation with GGA-PBE was carried out for a relaxed structure of BaSi2F2.

Results
energy above the lowest structure with this stoichiometry = 1.94 eV per formula unit
space-group type = P4/mbm (127)
formation energy without anion corrections = -1.302 eV/atom

```
BaSi2F2
1.0
-4.1244 -4.7750 -3.0375
5.4861 -2.4509 -3.5963
0.8633 -2.7953 3.2220
F Si Ba
4 4 2
Direct
0.1363 0.6363 0.0000
0.3637 0.1363 0.0000
0.8637 0.3637 0.0000
0.6363 0.8637 0.0000
0.1238 0.6238 0.5000
0.8762 0.3762 0.5000
0.6238 0.8762 0.5000
0.3762 0.1238 0.5000
0.0000 0.0000 0.0000
0.5000 0.5000 0.0000
```

=====

# 3
A plane-wave DFT calculation with GGA-PBE was carried out for a relaxed structure of FeAs3.

Results
energy relative to the elements = 187 kJ/mol of formula units
energy above the lowest structure with this stoichiometry = 1.75 eV per formula unit
space-group type = Fm-3m (225)

```
FeAs3
1.0
4.5574 0.0000 0.0000
2.2787 3.9468 0.0000
2.2787 1.3156 3.7211
Fe As
1 3
Direct
0.2500 0.2500 0.2500
0.0000 0.0000 0.0000
0.5000 0.5000 0.5000
0.7500 0.7500 0.7500
```

=====

Number 1: density 7.007 g/cm3, density of states at the Fermi level 0.335 states/eV/atom. Number 2: density 3.602 g/cm3, density of states at the Fermi level 0.354 states/eV/atom. Number 3: density 6.962 g/cm3, density of states at the Fermi level 0.771 states/eV/atom.